1.
A plane-wave DFT calculation with PBE was carried out for an optimized crystal structure of Th3Ga6Co5.

Cell lengths 4.0466, 12.5357, 9.3695 Å; angles 90.00, 90.00, 90.00 degrees
Closest atoms and distances in Å follow each position.
Space group Pmmn (No. 59, origin choice 2)
Symmetry-distinct sites (fractional):
Th 0.2500 0.0571 0.2434  6 Co 2.89-3.17, 8 Ga 2.96-3.20
Th 0.2500 0.7500 0.2823  6 Co 2.87-3.09
Ga 0.2500 0.0672 0.5783  4 Co 2.55-2.64, 1 Ga 2.70
Ga 0.2500 0.2500 0.0204  4 Co 2.54-2.70, 4 Ga 2.73
Ga 0.2500 0.2500 0.4257  4 Co 2.44, 2 Ga 2.70
Ga 0.2500 0.6039 0.9932  4 Co 2.50-2.80, 2 Ga 2.73
Co 0.2500 0.0921 0.8505  5 Ga 2.50-2.80
Co 0.2500 0.6425 0.5531  5 Ga 2.44-2.64, 2 Co 2.59-2.70
Co 0.2500 0.7500 0.7890  2 Co 2.59, 6 Ga 2.65-2.85

**Final energy**: -0.4313 Ry per atom

=====

2.
A plane-wave DFT calculation with PBE was carried out for an optimized crystal structure of Ca3Zn8Pt.

Cell lengths 5.3087, 5.3087, 27.2398 Å; angles 90.00, 90.00, 120.00 degrees
Closest atoms and distances in Å follow each position.
Space group R3m (No. 160, hexagonal axes)
Symmetry-distinct sites (fractional):
Ca 0.0000 0.0000 0.0000  12 Zn 3.14-3.34, 4 Ca 3.37-3.49
Ca 0.0000 0.0000 0.1281  12 Zn 3.04-3.20, 3 Pt 3.32
Ca 0.0000 0.0000 0.6151  1 Pt 2.90, 9 Zn 3.09-3.15
Zn 0.0000 0.0000 0.3086  6 Zn 2.77-2.82
Zn 0.0000 0.0000 0.8108  6 Zn 2.66-2.71
Zn 0.0018 0.5009 0.0624  6 Zn 2.64-2.82
Zn 0.0021 0.5010 0.5574  6 Zn 2.64-2.77
Pt 0.0000 0.0000 0.5085  1 Ca 2.90, 9 Zn 2.97-3.18

**Final energy**: -0.1566 Ry per atom

=====

| no. | calculated density (g/cm3) | energy relative to the elements (eV per formula unit) | magnetization (μB/cell) |
| --- | --- | --- | --- |
| 1 | 9.85 | -6.20 | 0.00 |
| 2 | 6.28 | -3.34 | 0.00 |